Entry 1:
ErPaTe2O8: relaxed, GGA-PBE.

a = 6.236 Å, b = 6.236 Å, c = 6.236 Å
α = 109.54°, β = 109.54°, γ = 109.33°
Fractional positions:
Er  0.000  0.000  0.000
Pa  0.250  0.750  0.500
Te  0.500  0.500  0.000
Te  0.750  0.250  0.500
O  0.294  0.101  0.807
O  0.294  0.488  0.193
O  0.350  0.037  0.313
O  0.512  0.706  0.807
O  0.723  0.037  0.687
O  0.899  0.706  0.193
O  0.963  0.277  0.313
O  0.963  0.650  0.687

## Properties
As for the total energy: -7.095 eV/atom. The formation energy from raw total energies comes out at -2.09 eV/atom. The space-group type is I-4m2 (119).

---

Entry 2:
La2BiHO: relaxed, GGA-PBE.

a = 7.113 Å, b = 7.113 Å, c = 7.113 Å
α = 146.25°, β = 146.25°, γ = 48.48°
Fractional positions:
La  0.151  0.151  0.000
La  0.849  0.849  0.000
Bi  0.500  0.500  0.000
H  0.250  0.750  0.500
O  0.750  0.250  0.500

## Properties
As for the total energy: -6.180 eV/atom. The space-group type is I-4m2 (119).

---

Entry 3:
Ce2Co3B12Ru: relaxed, GGA-PBE.

a = 8.271 Å, b = 8.271 Å, c = 8.271 Å
α = 37.92°, β = 37.92°, γ = 37.92°
Fractional positions:
Ce  0.142  0.142  0.142
Ce  0.858  0.858  0.858
Co  0.000  0.500  0.500
Co  0.500  0.000  0.500
Co  0.500  0.500  0.000
B  0.157  0.157  0.476
B  0.157  0.476  0.157
B  0.176  0.545  0.545
B  0.455  0.455  0.824
B  0.455  0.824  0.455
B  0.476  0.157  0.157
B  0.524  0.843  0.843
B  0.545  0.176  0.545
B  0.545  0.545  0.176
B  0.824  0.455  0.455
B  0.843  0.524  0.843
B  0.843  0.843  0.524
Ru  0.500  0.500  0.500

## Properties
Its calculated formation energy is 0.01 eV/atom. As for the total energy: -6.804 eV/atom. The space-group type is R-3m (166).